Record 1
The following is a DFT calculation (GGA-PBE) of a geometry-optimized Mg4InAg5 structure.

a = 3.367 Å, b = 3.367 Å, c = 16.704 Å
α = 90.00°, β = 90.00°, γ = 90.00°
Fractional coordinates of all 10 atoms:
Mg 0.000 0.000 0.209
Mg 0.000 0.000 0.403
Mg 0.000 0.000 0.597
Mg 0.000 0.000 0.791
In 0.000 0.000 0.000
Ag 0.500 0.500 0.113
Ag 0.500 0.500 0.304
Ag 0.500 0.500 0.500
Ag 0.500 0.500 0.696
Ag 0.500 0.500 0.887

crystal system = tetragonal
DFT formation energy = -0.20 eV per atom



Record 2
The following is a DFT calculation (GGA-PBE) of a geometry-optimized ZrZn2Te2 structure.

a = 7.681 Å, b = 7.681 Å, c = 3.966 Å
α = 90.00°, β = 90.00°, γ = 90.00°
Fractional coordinates of all 10 atoms:
Zn 0.150 0.650 0.500
Zn 0.650 0.850 0.500
Zn 0.850 0.350 0.500
Zn 0.350 0.150 0.500
Te 0.336 0.836 0.000
Te 0.836 0.664 0.000
Te 0.664 0.164 0.000
Te 0.164 0.336 0.000
Zr 0.000 0.000 0.000
Zr 0.500 0.500 0.000

uncorrected formation energy = -0.06 eV per atom
excess energy over the best structure of this formula in the dataset = 218 meV/atom
crystal system = tetragonal



Number 1: V 189.4 Å³ per cell, calculated density 6.588 g cm⁻³. Number 2: V 233.9 Å³ per cell, calculated density 6.775 g cm⁻³.